The following is a DFT calculation (PBE) of a geometry-optimized ScAlFe2Sb structure.

a = 4.5868 Å, b = 4.5868 Å, c = 5.4197 Å
α = 90.00°, β = 90.00°, γ = 90.00°
Last column: nearest neighbours and their distance in Å.
Space group P4/mmm (No. 123)
Symmetry-distinct sites (fractional):
1 Sc 0.0000 0.0000 0.0000 x1  4 Fe 2.29
2 Al 0.5000 0.5000 0.5000 x1  4 Sb 3.24, 8 Fe 3.55
3 Fe 0.0000 0.5000 0.0000 x2  2 Sc 2.29
4 Sb 0.0000 0.0000 0.5000 x1  2 Sc 2.71

Output
**E_form (uncorrected)**: 1185 meV per atom